Here is crystalline Li5BS4O16 at its relaxed geometry from Alexandria via LeMat-Bulk. Energies are from PBEsol.

Output
Formation energy (no corrections): -1830 meV per atom
Calculated density: 2.40 g cm⁻³

Lattice parameters (Å, degrees): 8.013 10.161 15.031 90.00 103.72 90.00
Positions (direct):
Li 0.607 0.294 0.984
Li 0.097 0.335 0.095
Li 0.597 0.165 0.595
Li 0.221 0.633 0.520
Li 0.893 0.794 0.516
Li 0.305 0.687 0.206
Li 0.577 0.619 0.685
Li 0.923 0.119 0.815
Li 0.107 0.206 0.484
Li 0.195 0.187 0.294
Li 0.695 0.313 0.794
Li 0.393 0.706 0.016
Li 0.805 0.813 0.706
Li 0.077 0.881 0.185
Li 0.279 0.133 0.980
Li 0.423 0.381 0.315
Li 0.779 0.367 0.480
Li 0.721 0.867 0.020
Li 0.403 0.835 0.405
Li 0.903 0.665 0.905
O 0.494 0.613 0.936
O 0.392 0.070 0.099
O 0.681 0.709 0.457
O 0.325 0.378 0.174
O 0.056 0.170 0.172
O 0.586 0.960 0.228
O 0.266 0.882 0.661
O 0.241 0.865 0.816
O 0.825 0.122 0.674
O 0.027 0.638 0.577
O 0.506 0.387 0.064
O 0.527 0.862 0.077
O 0.608 0.930 0.901
O 0.396 0.516 0.595
O 0.313 0.868 0.165
O 0.973 0.362 0.423
O 0.556 0.330 0.672
O 0.059 0.689 0.173
O 0.414 0.040 0.772
O 0.914 0.460 0.272
O 0.994 0.887 0.436
O 0.044 0.513 0.910
O 0.609 0.452 0.224
O 0.813 0.632 0.665
O 0.941 0.311 0.827
O 0.346 0.800 0.529
O 0.473 0.138 0.923
O 0.601 0.412 0.881
O 0.109 0.048 0.724
O 0.441 0.189 0.327
O 0.108 0.570 0.401
O 0.819 0.209 0.043
O 0.181 0.791 0.957
O 0.259 0.365 0.684
O 0.101 0.088 0.381
O 0.759 0.135 0.184
O 0.741 0.635 0.316
O 0.399 0.588 0.119
O 0.154 0.300 0.971
O 0.391 0.548 0.776
O 0.187 0.368 0.335
O 0.104 0.016 0.905
O 0.687 0.132 0.835
O 0.654 0.200 0.471
O 0.234 0.382 0.839
O 0.604 0.484 0.405
O 0.319 0.291 0.543
O 0.544 0.987 0.410
O 0.896 0.984 0.095
O 0.175 0.878 0.326
O 0.891 0.952 0.276
O 0.944 0.830 0.828
O 0.766 0.618 0.161
O 0.956 0.487 0.090
O 0.892 0.430 0.599
O 0.456 0.013 0.590
O 0.734 0.118 0.339
O 0.086 0.540 0.728
O 0.559 0.811 0.673
O 0.899 0.912 0.619
O 0.675 0.622 0.826
O 0.444 0.670 0.328
O 0.006 0.113 0.564
O 0.846 0.700 0.029
S 0.449 0.942 0.138
S 0.916 0.620 0.111
S 0.386 0.377 0.621
S 0.949 0.558 0.638
S 0.546 0.549 0.862
S 0.454 0.451 0.138
S 0.046 0.951 0.362
S 0.051 0.442 0.362
S 0.084 0.380 0.889
S 0.614 0.623 0.379
S 0.954 0.049 0.638
S 0.114 0.877 0.879
S 0.551 0.058 0.862
S 0.416 0.880 0.611
S 0.886 0.123 0.121
S 0.584 0.120 0.389
B 0.741 0.042 0.257
B 0.759 0.542 0.243
B 0.259 0.958 0.743
B 0.241 0.458 0.757

***

Here is crystalline BeAl2Mo at its relaxed geometry from Alexandria via LeMat-Bulk. Energies are from PBEsol.

Output
E: -23.7 eV for the cell shown
Calculated density: 4.74 g cm⁻³

Lattice parameters (Å, degrees): 3.234 3.234 5.327 90.00 90.00 90.00
Positions (direct):
Mo 0.500 0.500 0.500
Al 0.000 0.000 0.248
Al 0.000 0.000 0.752
Be 0.500 0.500 0.000

***

Here is crystalline CrOsRh2 at its relaxed geometry from Alexandria via LeMat-Bulk. Energies are from PBEsol.

Output
E: -38.8 eV for the cell shown
Calculated density: 14.23 g cm⁻³

Lattice parameters (Å, degrees): 3.713 3.713 4.613 113.73 113.73 90.00
Positions (direct):
Rh 0.250 0.750 0.500
Rh 0.750 0.250 0.500
Cr 0.000 0.000 0.000
Os 0.500 0.500 0.000

***

Here is crystalline Cd2AsPt at its relaxed geometry from Alexandria via LeMat-Bulk. Energies are from PBEsol.

Output
E: -14.6 eV for the cell shown
Calculated density: 11.42 g cm⁻³

Lattice parameters (Å, degrees): 4.052 4.213 4.213 90.00 90.00 90.00
Positions (direct):
As 0.500 0.000 0.000
Cd 0.000 0.000 0.500
Cd 0.000 0.500 0.000
Pt 0.500 0.500 0.500